No. 1
DFT (GGA-PBE) results for a geometry-optimized Tb5PuN6 structure.

```
Tb5PuN6
1.0
3.0194 -5.2287 0.0000
3.0194 5.2287 0.0000
-2.0116 0.0000 5.6960
Tb Pu N
5 1 6
direct
0.0000 0.0000 0.0000
0.1664 0.8336 0.5000
0.3330 0.6670 0.0000
0.6670 0.3330 0.0000
0.8336 0.1664 0.5000
0.5000 0.5000 0.5000
0.0945 0.4182 0.2546
0.2574 0.2574 0.7442
0.4182 0.0945 0.2546
0.5818 0.9055 0.7454
0.7426 0.7426 0.2558
0.9055 0.5818 0.7454
```

## Properties
Total moment (μB/f.u.): 4.4
Crystal system: monoclinic
Density (g/cm³): 10.4
Energy relative to the elements, uncorrected (eV/atom): -1.5906

No. 2
DFT (GGA-PBE) results for a geometry-optimized TbPu2TcN4 structure.

```
TbPu2TcN4
1.0
1.6547 -5.8553 0.0000
1.6547 5.8553 0.0000
0.0000 0.0000 11.5301
Tb Pu Tc N
2 4 2 8
direct
0.1177 0.8823 0.7500
0.8823 0.1177 0.2500
0.3685 0.6315 0.5487
0.3685 0.6315 0.9513
0.6315 0.3685 0.0487
0.6315 0.3685 0.4513
0.1443 0.8557 0.2500
0.8557 0.1443 0.7500
0.0000 0.0000 0.0000
0.0000 0.0000 0.5000
0.2698 0.7302 0.1235
0.2698 0.7302 0.3765
0.4673 0.5327 0.7500
0.5327 0.4673 0.2500
0.7302 0.2698 0.6235
0.7302 0.2698 0.8765
```

## Properties
Total moment (μB/f.u.): 8.0
Crystal system: orthorhombic
Density (g/cm³): 11.9
Energy relative to the elements, uncorrected (eV/atom): -0.9794

Repeat the second record exactly.
DFT (GGA-PBE) results for a geometry-optimized TbPu2TcN4 structure.

```
TbPu2TcN4
1.0
1.6547 -5.8553 0.0000
1.6547 5.8553 0.0000
0.0000 0.0000 11.5301
Tb Pu Tc N
2 4 2 8
direct
0.1177 0.8823 0.7500
0.8823 0.1177 0.2500
0.3685 0.6315 0.5487
0.3685 0.6315 0.9513
0.6315 0.3685 0.0487
0.6315 0.3685 0.4513
0.1443 0.8557 0.2500
0.8557 0.1443 0.7500
0.0000 0.0000 0.0000
0.0000 0.0000 0.5000
0.2698 0.7302 0.1235
0.2698 0.7302 0.3765
0.4673 0.5327 0.7500
0.5327 0.4673 0.2500
0.7302 0.2698 0.6235
0.7302 0.2698 0.8765
```

## Properties
Total moment (μB/f.u.): 8.0
Crystal system: orthorhombic
Density (g/cm³): 11.9
Energy relative to the elements, uncorrected (eV/atom): -0.9794